DFT (GGA+U) results for a relaxed structure of BaLaCrO4.

a b c (Å): 3.9928 3.9928 7.0200
angles (deg): 106.52 106.52 90.00
Last column: nearest neighbours and their distance in Å.
Fractional coordinates of all 7 atoms:
O (0.1724, 0.1724, 0.3448)  1 Cr 2.21, 1 La 2.44
O (0.9883, 0.4883, 0.9766)  2 Cr 2.00
O (0.8431, 0.8431, 0.6862)  1 Cr 2.02
O (0.4883, 0.9883, 0.9766)  2 Cr 2.00
La (0.3622, 0.3622, 0.7243)  5 O 2.44-2.57
Cr (0.0005, 0.0005, 0.0010)  6 O 2.00-2.21
Ba (0.6452, 0.6452, 0.2904)  9 O 2.54-2.84

Properties
density of states at the Fermi level = 0.0 states/eV/cell
final energy = -7.58 eV per atom
space-group type = I4mm, No. 107